Crystalline ZrTl2Te at its relaxed geometry, computed with PBE.

Unit cell a=8.124 b=8.124 c=4.680 alpha=73.21 beta=73.21 gamma=24.34
Element x y z (fractional)
Te (0.750, 0.750, 0.750)
Zr (0.250, 0.250, 0.250)
Tl (0.563, 0.563, 0.437)
Tl (0.937, 0.937, 0.063)

Computed properties:
Energy relative to the lowest polymorph listed for this composition in eV/atom: 0.1500
Uncorrected energy in eV per atom: -4.21
Total magnetization in μB per formula unit: 0.000
E_form (uncorrected) in eV/atom: -0.11